Here is crystalline In2TeAu2 at its relaxed geometry from Alexandria via LeMat-Bulk. Energies are from PBE.

abc: 3.9433 3.9433 8.4313
angles: 76.48 76.48 90.00
Sites, in units of the cell vectors:
1 Te 0.0000 0.0000 0.0000
2 In 0.6067 0.6067 0.7866
3 In 0.3933 0.3933 0.2134
4 Au 0.7500 0.2500 0.5000
5 Au 0.2500 0.7500 0.5000

Properties
Space-group type: No. 139
Raw formation energy: -88 meV per atom
Crystal system: tetragonal
Total magnetization: 0.000 Bohr magnetons per cell
Total DFT energy (no corrections): -0.1148 Ha/atom

---

Here is crystalline InTe2Au at its relaxed geometry from Alexandria via LeMat-Bulk. Energies are from PBE.

abc: 6.3677 13.4891 6.3499
angles: 90.00 90.00 90.00
Sites, in units of the cell vectors:
1 Au 0.2502 0.8457 0.9377
2 Au 0.7502 0.6543 0.9377
3 Au 0.7498 0.1543 0.4377
4 Au 0.2498 0.3457 0.4377
5 In 0.2500 0.4996 0.9371
6 In 0.7500 0.0004 0.9371
7 In 0.2500 0.9996 0.4371
8 In 0.7500 0.5004 0.4371
9 Te 0.9618 0.8676 0.6501
10 Te 0.5387 0.8677 0.2249
11 Te 0.0387 0.6323 0.2249
12 Te 0.4613 0.1323 0.7249
13 Te 0.5382 0.3676 0.1501
14 Te 0.0382 0.1324 0.1501
15 Te 0.9613 0.3677 0.7249
16 Te 0.4618 0.6324 0.6501

Properties
Space-group type: No. 60
Raw formation energy: -244 meV per atom
Crystal system: orthorhombic
Total magnetization: 0.000 Bohr magnetons per cell
Total DFT energy (no corrections): -0.1220 Ha/atom

---

Here is crystalline InTe2Au at its relaxed geometry from Alexandria via LeMat-Bulk. Energies are from PBE.

abc: 6.8694 6.8694 6.8694
angles: 144.62 143.75 51.55
Sites, in units of the cell vectors:
1 Au 0.7500 0.2500 0.5000
2 Te 0.5772 0.5772 0.0000
3 Te 0.9228 0.9228 0.0000
4 In 0.2500 0.7500 0.5000

Properties
Space-group type: No. 71
Raw formation energy: -9 meV per atom
Crystal system: orthorhombic
Total magnetization: 0.000 Bohr magnetons per cell
Total DFT energy (no corrections): -0.1133 Ha/atom

---

Here is crystalline In2TeAu at its relaxed geometry from Alexandria via LeMat-Bulk. Energies are from PBE.

abc: 6.7758 6.7758 6.7758
angles: 145.64 142.14 52.05
Sites, in units of the cell vectors:
1 Au 0.2500 0.7500 0.5000
2 Te 0.7500 0.2500 0.5000
3 In 0.0546 0.0546 0.0000
4 In 0.4454 0.4454 0.0000

Properties
Space-group type: No. 71
Raw formation energy: -49 meV per atom
Crystal system: orthorhombic
Total magnetization: 0.000 Bohr magnetons per cell
Total DFT energy (no corrections): -0.1111 Ha/atom

---

Short version: D(E_F) = 0.561; 0.000; 0.359; 0.304 states/eV/atom, in the order given.